The following is a DFT calculation (PBE) of an optimized crystal structure of BaBeAu6.

abc: 6.006 6.006 6.006
angles: 66.82 66.82 66.82
Element x y z (fractional)
Ba  0.000  0.000  0.000
Be  0.500  0.500  0.500
Au  0.053  0.622  0.622
Au  0.378  0.378  0.947
Au  0.378  0.947  0.378
Au  0.622  0.053  0.622
Au  0.622  0.622  0.053
Au  0.947  0.378  0.378

Values from the calculation:
- ΔH_f (0 K) (eV per atom) = -0.316
- size of the total moment (μB/f.u.) = 0.000
- space-group type = R-3m (166)